DFT (PBE) results for a geometry-optimized Zr2MoRuRh structure.

- DOS at the Fermi energy: 5.90 states/eV/cell
- VASP energy: -39.7 eV/cell

Lattice parameters (Å, degrees): 4.9049 4.9049 4.6680 90.00 90.00 90.00
With the nearest neighbours (Å) after each atom.
Space group P4/mmm (No. 123)
Asymmetric unit:
Zr 0.0000 0.5000 0.0000 (multiplicity 2)  2 Ru 2.45
Mo 0.0000 0.0000 0.5000 (multiplicity 1)  8 Zr 3.39, 4 Rh 3.47
Ru 0.5000 0.5000 0.0000 (multiplicity 1)  2 Rh 2.33, 4 Zr 2.45
Rh 0.5000 0.5000 0.5000 (multiplicity 1)  2 Ru 2.33